# 1
Compound: Dy4YCo4
Source: the Alexandria database
Functional: PBE
Structure: relaxed

For the total energy, the calculation gives -107.6 eV/cell. Its size of the total moment is 0.00 μB per formula unit.

The space group is P4_2/n (No. 86, origin choice 2) and the conventional cell measures 8.4143, 8.4143 and 5.5664 Å, with angles of 90.00, 90.00 and 90.00 degrees. The asymmetric unit holds Dy at (0.0620, 0.6735, 0.1320), Y at (0.2500, 0.2500, 0.2500) and Co at (0.0146, 0.6112, 0.6149).

=====

# 2
Compound: Dy3YCo
Source: the Alexandria database
Functional: PBE
Structure: relaxed

The energy above the lowest structure with this stoichiometry comes out at 104 meV/atom. Its size of the total moment is 0.01 μB per formula unit.

The space group is Pm-3m (No. 221) and the conventional cell measures 5.2732, 5.2732 and 5.2732 Å, with angles of 90.00, 90.00 and 90.00 degrees. The asymmetric unit holds Dy at (0.0000, 0.0000, 0.5000), Y at (0.5000, 0.5000, 0.5000) and Co at (0.0000, 0.0000, 0.0000).